The following is a PBE calculation of a relaxed structure of NaHoBi2, from Alexandria.

a b c (Å): 5.496 5.496 5.496
angles (deg): 60.00 60.00 60.00
Fractional positions:
Na  0.000  0.000  0.000
Ho  0.500  0.500  0.500
Bi  0.250  0.250  0.250
Bi  0.750  0.750  0.750

Symmetry: Fm-3m (225)
Size of the total moment, μB per formula unit: 0.000
ΔE_f, kJ/mol of formula units: -151
ρ, Mg/m³: 8.57